Entry from Alexandria: a relaxed DyS8Cl2 crystal (PBE).

Cell: 6.636 7.415 7.533 Å, 106.93 105.62 97.59°
Space group P-1 (No. 2)
One atom of each set of equivalent atoms:
Dy  0.000  0.000  0.000 (multiplicity 1)
S  0.286  0.852  0.800 (multiplicity 2)
S  0.318  0.336  0.282 (multiplicity 2)
S  0.482  0.760  0.972 (multiplicity 2)
S  0.493  0.247  0.472 (multiplicity 2)
Cl  0.028  0.790  0.212 (multiplicity 2)


Entry from Alexandria: a relaxed Dy3S4Cl crystal (PBE).

Cell: 13.804 6.915 9.701 Å, 90.00 111.46 90.00°
Space group Cc (No. 9)
One atom of each set of equivalent atoms:
Dy  0.000  0.006  0.000 (multiplicity 4)
Dy  0.104  0.492  0.200 (multiplicity 4)
Dy  0.368  0.012  0.283 (multiplicity 4)
S  0.065  0.338  0.435 (multiplicity 4)
S  0.181  0.162  0.147 (multiplicity 4)
S  0.408  0.168  0.554 (multiplicity 4)
S  0.485  0.304  0.240 (multiplicity 4)
Cl  0.297  0.344  0.842 (multiplicity 4)


V, respectively: 30.23, 26.93 Å³ per atom.
Raw formation energy, respectively: -5.449, -16.527 eV/f.u..